Entry 1:
Ni3Au5Br12 | PBE | optimized geometry

Lattice parameters (Å, degrees): 14.1884 14.1884 14.1884 109.47 109.47 109.47
Last column: nearest neighbours and their distance in Å.
Positions (direct):
Br (0.1846, 0.5670, 0.2076)  1 Ni 2.33
Br (0.3824, 0.8154, 0.0230)  1 Ni 2.33
Br (0.8824, 0.5230, 0.3154)  1 Ni 2.33
Br (0.8154, 0.3824, 0.5230)  1 Ni 2.33
Br (0.8594, 0.7924, 0.9770)  1 Ni 2.33
Br (0.5230, 0.8824, 0.8154)  1 Ni 2.33
Br (0.0230, 0.3154, 0.3824)  1 Ni 2.33
Br (0.1176, 0.6406, 0.9330)  1 Ni 2.33
Br (0.2076, 0.0670, 0.1846)  1 Ni 2.33
Br (0.5670, 0.1846, 0.7076)  1 Ni 2.33
Br (0.6176, 0.1846, 0.9770)  1 Ni 2.33
Br (0.1406, 0.2076, 0.0230)  1 Ni 2.33
Br (0.3594, 0.8824, 0.5670)  1 Ni 2.33
Br (0.2924, 0.9770, 0.3594)  1 Ni 2.33
Br (0.9330, 0.1406, 0.1176)  1 Ni 2.33
Br (0.9770, 0.2924, 0.8594)  1 Ni 2.33
Br (0.8594, 0.0670, 0.3824)  1 Ni 2.33
Br (0.0670, 0.2076, 0.6846)  1 Ni 2.33
Br (0.5670, 0.3824, 0.3594)  1 Ni 2.33
Br (0.4770, 0.3594, 0.7924)  1 Ni 2.33
Br (0.8824, 0.3594, 0.0670)  1 Ni 2.33
Br (0.7076, 0.6846, 0.5670)  1 Ni 2.33
Br (0.2076, 0.1406, 0.5230)  1 Ni 2.33
Br (0.1846, 0.6176, 0.4770)  1 Ni 2.33
Br (0.4330, 0.8154, 0.2924)  1 Ni 2.33
Br (0.3594, 0.4770, 0.2924)  1 Ni 2.33
Br (0.5230, 0.6406, 0.2076)  1 Ni 2.33
Br (0.0230, 0.7076, 0.1406)  1 Ni 2.33
Br (0.6406, 0.1176, 0.4330)  1 Ni 2.33
Br (0.3154, 0.0230, 0.8824)  1 Ni 2.33
Br (0.6846, 0.7076, 0.0670)  1 Ni 2.33
Br (0.6176, 0.4330, 0.1406)  1 Ni 2.33
Br (0.9770, 0.6846, 0.6176)  1 Ni 2.33
Br (0.7924, 0.8594, 0.4770)  1 Ni 2.33
Br (0.1406, 0.9330, 0.6176)  1 Ni 2.33
Br (0.6406, 0.5230, 0.7076)  1 Ni 2.33
Br (0.4330, 0.6176, 0.6406)  1 Ni 2.33
Br (0.8154, 0.4330, 0.7924)  1 Ni 2.33
Br (0.3154, 0.2924, 0.9330)  1 Ni 2.33
Br (0.1176, 0.4770, 0.6846)  1 Ni 2.33
Br (0.4770, 0.1176, 0.1846)  1 Ni 2.33
Br (0.7924, 0.9330, 0.8154)  1 Ni 2.33
Br (0.9330, 0.7924, 0.3154)  1 Ni 2.33
Br (0.7076, 0.0230, 0.6406)  1 Ni 2.33
Br (0.3824, 0.5670, 0.8594)  1 Ni 2.33
Br (0.2924, 0.3154, 0.4330)  1 Ni 2.33
Br (0.0670, 0.8594, 0.8824)  1 Ni 2.33
Br (0.6846, 0.9770, 0.1176)  1 Ni 2.33
Ni (0.3750, 0.6250, 0.2500)  4 Br 2.33
Ni (0.2500, 0.6250, 0.8750)  4 Br 2.33
Ni (0.6250, 0.3750, 0.7500)  4 Br 2.33
Ni (0.7500, 0.8750, 0.6250)  4 Br 2.33
Ni (0.2500, 0.1250, 0.3750)  4 Br 2.33
Ni (0.8750, 0.7500, 0.1250)  4 Br 2.33
Ni (0.6250, 0.2500, 0.3750)  4 Br 2.33
Ni (0.7500, 0.3750, 0.1250)  4 Br 2.33
Ni (0.3750, 0.7500, 0.6250)  4 Br 2.33
Ni (0.1250, 0.8750, 0.7500)  4 Br 2.33
Ni (0.1250, 0.2500, 0.8750)  4 Br 2.33
Ni (0.8750, 0.1250, 0.2500)  4 Br 2.33
Au (0.2500, 0.8750, 0.1250)  4 Br 2.90
Au (0.6250, 0.7500, 0.8750)  4 Br 2.90
Au (0.8750, 0.2500, 0.6250)  4 Br 2.90
Au (0.1250, 0.3750, 0.2500)  4 Br 2.90
Au (0.0000, 0.5000, 0.5000)  6 Br 2.79
Au (0.1250, 0.7500, 0.3750)  4 Br 2.90
Au (0.5000, 0.0000, 0.0000)  6 Br 2.79
Au (0.5000, 0.5000, 0.5000)  6 Br 2.79
Au (0.3750, 0.2500, 0.1250)  4 Br 2.90
Au (0.5000, 0.5000, 0.0000)  6 Br 2.79
Au (0.0000, 0.0000, 0.0000)  6 Br 2.79
Au (0.3750, 0.1250, 0.7500)  4 Br 2.90
Au (0.5000, 0.0000, 0.5000)  6 Br 2.79
Au (0.6250, 0.8750, 0.2500)  4 Br 2.90
Au (0.0000, 0.5000, 0.0000)  6 Br 2.79
Au (0.2500, 0.3750, 0.6250)  4 Br 2.90
Au (0.7500, 0.1250, 0.8750)  4 Br 2.90
Au (0.0000, 0.0000, 0.5000)  6 Br 2.79
Au (0.8750, 0.6250, 0.7500)  4 Br 2.90
Au (0.7500, 0.6250, 0.3750)  4 Br 2.90

## Properties
For the uncorrected formation energy, the calculation gives 29.1 meV per atom. As for the symmetry: No. 230. As for the electronic total energy: -2.66 eV per atom.

Entry 2:
NiAu2Br | PBE | optimized geometry

Lattice parameters (Å, degrees): 3.0805 3.0808 8.0698 90.00 90.00 90.00
Last column: nearest neighbours and their distance in Å.
Positions (direct):
Au (0.0000, 0.0000, 0.9672)  4 Ni 2.78, 8 Au 2.89-3.08
Au (0.5000, 0.5000, 0.2020)  8 Au 2.89-3.08
Br (0.0000, 0.0000, 0.5767)  4 Ni 2.61
Ni (0.5000, 0.5000, 0.7540)  4 Br 2.61, 4 Au 2.78

## Properties
For the uncorrected formation energy, the calculation gives 292.1 meV per atom. As for the symmetry: No. 99. For the offset from the most stable computed form, the calculation gives 141 meV/atom. As for the electronic total energy: -3.21 eV per atom.

Entry 3:
NiAu2Br | PBE | optimized geometry

Lattice parameters (Å, degrees): 6.3888 6.3888 3.5286 74.04 74.04 130.74
Last column: nearest neighbours and their distance in Å.
Positions (direct):
Ni (0.0000, 0.5000, 0.5000)  4 Br 2.66-2.67
Au (0.5000, 0.5000, 0.0000)  4 Au 2.66-2.67
Au (0.0000, 0.0000, 0.0000)  4 Au 2.66-2.67
Br (0.5000, 0.0000, 0.5000)  4 Ni 2.66-2.67

## Properties
For the uncorrected formation energy, the calculation gives 433.4 meV per atom. As for the symmetry: No. 12. For the offset from the most stable computed form, the calculation gives 282 meV/atom. As for the electronic total energy: -3.07 eV per atom.

Entry 4:
Pm6Ni2AuBr3 | PBE | optimized geometry

Lattice parameters (Å, degrees): 7.1697 7.1697 7.9977 98.61 98.61 120.00
Last column: nearest neighbours and their distance in Å.
Positions (direct):
Pm (0.5783, 0.9337, 0.8009)  2 Ni 2.77, 1 Au 2.97
Pm (0.2895, 0.2895, 0.8017)  2 Ni 2.77, 1 Au 2.97
Pm (0.0663, 0.4217, 0.1991)  2 Ni 2.77, 1 Au 2.97
Pm (0.9337, 0.5783, 0.8009)  2 Ni 2.77, 1 Au 2.97
Pm (0.4217, 0.0663, 0.1991)  2 Ni 2.77, 1 Au 2.97
Pm (0.7105, 0.7105, 0.1983)  2 Ni 2.77, 1 Au 2.97
Br (0.5000, 0.5000, 0.5000)  6 Pm 3.21-3.37
Br (0.1661, 0.8339, 0.5000)  6 Pm 3.21-3.38
Br (0.8339, 0.1661, 0.5000)  6 Pm 3.21-3.38
Au (0.0000, 0.0000, 0.0000)  6 Pm 2.97
Ni (0.3333, 0.6667, 0.0000)  6 Pm 2.77
Ni (0.6667, 0.3333, 0.0000)  6 Pm 2.77

## Properties
For the uncorrected formation energy, the calculation gives -859.7 meV per atom. As for the symmetry: No. 12. As for the electronic total energy: -4.89 eV per atom.

Entry 5:
Pr6Ni2AuBr3 | PBE | optimized geometry

Lattice parameters (Å, degrees): 4.2236 9.1602 9.9916 109.76 102.20 90.00
Last column: nearest neighbours and their distance in Å.
Positions (direct):
Pr (0.6604, 0.1194, 0.3209)  2 Ni 2.88, 1 Au 2.94
Pr (0.3172, 0.4406, 0.6344)  3 Ni 2.73-2.88
Pr (0.6828, 0.5594, 0.3656)  3 Ni 2.73-2.88
Pr (0.3396, 0.8806, 0.6791)  2 Ni 2.88, 1 Au 2.94
Pr (0.0203, 0.2469, 0.0405)  1 Ni 2.72, 2 Au 3.02
Pr (0.9797, 0.7531, 0.9595)  1 Ni 2.72, 2 Au 3.02
Au (0.5000, 0.0000, 0.0000)  6 Pr 2.94-3.02
Ni (0.8318, 0.6624, 0.6637)  6 Pr 2.72-2.88
Ni (0.1682, 0.3376, 0.3363)  6 Pr 2.72-2.88
Br (0.8348, 0.1658, 0.6695)  6 Pr 3.28-3.44
Br (0.5000, 0.5000, 0.0000)  6 Pr 3.26-3.42
Br (0.1652, 0.8342, 0.3305)  6 Pr 3.28-3.44

## Properties
For the uncorrected formation energy, the calculation gives -843.3 meV per atom. As for the symmetry: No. 12. As for the electronic total energy: -4.89 eV per atom.

Entry 6:
Rb3NiAu2Br9 | PBE | optimized geometry

Lattice parameters (Å, degrees): 7.5403 7.5403 9.2218 90.00 90.00 120.00
Last column: nearest neighbours and their distance in Å.
Positions (direct):
Rb (0.6667, 0.3333, 0.3343)  12 Br 3.75-3.77
Rb (0.0000, 0.0000, 0.0000)  12 Br 3.77-3.78
Rb (0.3333, 0.6667, 0.6657)  12 Br 3.75-3.77
Br (0.5000, 0.0000, 0.0000)  2 Au 2.71
Br (0.6833, 0.8416, 0.3434)  1 Ni 2.52, 1 Au 2.76
Br (0.1584, 0.3167, 0.3434)  1 Ni 2.52, 1 Au 2.76
Br (0.5000, 0.5000, 0.0000)  2 Au 2.71
Br (0.1584, 0.8416, 0.3434)  1 Ni 2.52, 1 Au 2.76
Br (0.0000, 0.5000, 0.0000)  2 Au 2.71
Br (0.8416, 0.6833, 0.6566)  1 Ni 2.52, 1 Au 2.76
Br (0.3167, 0.1584, 0.6566)  1 Ni 2.52, 1 Au 2.76
Br (0.8416, 0.1584, 0.6566)  1 Ni 2.52, 1 Au 2.76
Ni (0.0000, 0.0000, 0.5000)  6 Br 2.52
Au (0.3333, 0.6667, 0.1751)  6 Br 2.71-2.76
Au (0.6667, 0.3333, 0.8249)  6 Br 2.71-2.76

## Properties
For the uncorrected formation energy, the calculation gives -808.3 meV per atom. As for the symmetry: No. 164. As for the electronic total energy: -2.83 eV per atom.

Entry 7:
TaNiAuBr2 | PBE | optimized geometry

Lattice parameters (Å, degrees): 4.6237 5.0854 4.6237 90.00 90.00 90.00
Last column: nearest neighbours and their distance in Å.
Positions (direct):
Au (0.0000, 0.5000, 0.0000)  2 Ni 2.54
Br (0.0000, 0.0000, 0.5000)  2 Ni 2.31
Br (0.5000, 0.0000, 0.0000)  2 Ni 2.31
Ta (0.5000, 0.5000, 0.5000)  4 Au 3.27, 8 Br 3.44
Ni (0.0000, 0.0000, 0.0000)  4 Br 2.31, 2 Au 2.54

## Properties
For the uncorrected formation energy, the calculation gives 960.5 meV per atom. As for the symmetry: No. 123. As for the electronic total energy: -3.89 eV per atom.

Entry 8:
TiNi2AuBr | PBE | optimized geometry

Lattice parameters (Å, degrees): 4.4963 5.1267 4.4963 90.00 90.00 90.00
Last column: nearest neighbours and their distance in Å.
Positions (direct):
Au (0.0000, 0.5000, 0.0000)  2 Ti 2.56
Ni (0.5000, 0.0000, 0.0000)  2 Ti 2.25
Ni (0.0000, 0.0000, 0.5000)  2 Ti 2.25
Ti (0.0000, 0.0000, 0.0000)  4 Ni 2.25
Br (0.5000, 0.5000, 0.5000)  4 Au 3.18, 8 Ni 3.41

## Properties
For the uncorrected formation energy, the calculation gives 989.9 meV per atom. As for the symmetry: No. 123. As for the electronic total energy: -3.89 eV per atom.

Entry 9:
Tl2NiAuBr6 | PBE | optimized geometry

Lattice parameters (Å, degrees): 7.1250 7.2722 11.5467 90.00 88.86 90.00
Last column: nearest neighbours and their distance in Å.
Positions (direct):
Br (0.4552, 0.0087, 0.7081)  1 Ni 2.42
Br (0.9552, 0.4913, 0.2081)  1 Ni 2.42
Br (0.7001, 0.3008, 0.5193)  1 Au 2.59, 1 Ni 2.62
Br (0.7978, 0.7973, 0.5275)  1 Ni 2.61, 1 Au 2.61
Br (0.7022, 0.2973, 0.9725)  1 Ni 2.61, 1 Au 2.61
Br (0.2978, 0.7027, 0.0275)  1 Ni 2.61, 1 Au 2.61
Br (0.7999, 0.8008, 0.9807)  1 Au 2.59, 1 Ni 2.62
Br (0.0448, 0.5087, 0.7919)  1 Ni 2.42
Br (0.5448, 0.9913, 0.2919)  1 Ni 2.42
Br (0.2001, 0.1992, 0.0193)  1 Au 2.59, 1 Ni 2.62
Br (0.2999, 0.6992, 0.4807)  1 Au 2.59, 1 Ni 2.62
Br (0.2022, 0.2027, 0.4725)  1 Ni 2.61, 1 Au 2.61
Ni (0.0000, 0.5000, 0.0000)  6 Br 2.42-2.62
Ni (0.5000, 0.0000, 0.5000)  6 Br 2.42-2.62
Tl (0.9850, 0.0590, 0.7501)  7 Br 3.33-3.68
Tl (0.0150, 0.9410, 0.2499)  7 Br 3.33-3.68
Tl (0.5150, 0.5590, 0.7499)  7 Br 3.33-3.68
Tl (0.4850, 0.4410, 0.2501)  7 Br 3.33-3.68
Au (0.0000, 0.5000, 0.5000)  4 Br 2.59-2.61
Au (0.5000, 0.0000, 0.0000)  4 Br 2.59-2.61

## Properties
For the uncorrected formation energy, the calculation gives -449.4 meV per atom. As for the symmetry: No. 14. As for the electronic total energy: -2.83 eV per atom.

Number 6 is which compound? Rb3NiAu2Br9

Which formula does entry 7 have? TaNiAuBr2